DFT (PBEsol) results for crystalline Li2Cr3CuO8 at its relaxed geometry.

Summary:
Uncorrected energy   -7.54 eV/atom
Energy relative to the lowest polymorph listed for this composition   0.007 eV per atom
Space-group type   P4_132 (213)

abc: 8.1645 8.1645 8.1645
angles: 90.00 90.00 90.00
Fractional coordinates of all 56 atoms:
Li 0.0007 0.4993 0.5007
Li 0.2493 0.2507 0.7493
Li 0.2507 0.7493 0.2493
Li 0.4993 0.5007 0.0007
Li 0.5007 0.0007 0.4993
Li 0.7493 0.2493 0.2507
Li 0.7507 0.7507 0.7507
Li 0.9993 0.9993 0.9993
Cr 0.1240 0.3740 0.1250
Cr 0.1250 0.1240 0.3740
Cr 0.1260 0.8750 0.6240
Cr 0.3740 0.1250 0.1240
Cr 0.3750 0.8760 0.8740
Cr 0.3760 0.6260 0.6250
Cr 0.6240 0.1260 0.8750
Cr 0.6250 0.3760 0.6260
Cr 0.6260 0.6250 0.3760
Cr 0.8740 0.3750 0.8760
Cr 0.8750 0.6240 0.1260
Cr 0.8760 0.8740 0.3750
Cu 0.1250 0.6250 0.8750
Cu 0.3750 0.3750 0.3750
Cu 0.6250 0.8750 0.1250
Cu 0.8750 0.1250 0.6250
O 0.1035 0.3753 0.8922
O 0.1078 0.6035 0.1247
O 0.1135 0.8865 0.3865
O 0.1247 0.1078 0.6035
O 0.1253 0.3535 0.3578
O 0.1365 0.1365 0.1365
O 0.1422 0.8747 0.8535
O 0.1465 0.6422 0.6253
O 0.3535 0.3578 0.1253
O 0.3578 0.1253 0.3535
O 0.3635 0.8635 0.6365
O 0.3747 0.6465 0.8578
O 0.3753 0.8922 0.1035
O 0.3865 0.1135 0.8865
O 0.3922 0.3965 0.6247
O 0.3965 0.6247 0.3922
O 0.6035 0.1247 0.1078
O 0.6078 0.8965 0.8753
O 0.6135 0.6135 0.6135
O 0.6253 0.1465 0.6422
O 0.6247 0.3922 0.3965
O 0.6365 0.3635 0.8635
O 0.6422 0.6253 0.1465
O 0.6465 0.8578 0.3747
O 0.8535 0.1422 0.8747
O 0.8578 0.3747 0.6465
O 0.8635 0.6365 0.3635
O 0.8753 0.6078 0.8965
O 0.8747 0.8535 0.1422
O 0.8865 0.3865 0.1135
O 0.8922 0.1035 0.3753
O 0.8965 0.8753 0.6078

DFT (PBEsol) results for crystalline Zn2MoRh at its relaxed geometry.

Summary:
Uncorrected energy   -5.76 eV/atom
ΔH_f (0 K)   0 kJ/mol of atoms
Space-group type   F-43m (216)

abc: 4.2816 4.2816 4.2816
angles: 60.00 60.00 60.00
Fractional coordinates of all 4 atoms:
Zn 0.0000 0.0000 0.0000
Zn 0.2500 0.2500 0.2500
Mo 0.7500 0.7500 0.7500
Rh 0.5000 0.5000 0.5000

DFT (PBEsol) results for crystalline Zr2NiPb at its relaxed geometry.

Summary:
Uncorrected energy   -7.25 eV/atom
ΔH_f (0 K)   -16 kJ/mol of atoms
Space-group type   P4/mmm (123)

abc: 4.1989 4.1989 4.3001
angles: 90.00 90.00 90.00
Fractional coordinates of all 4 atoms:
Zr 0.0000 0.5000 0.0000
Zr 0.5000 0.0000 0.0000
Ni 0.0000 0.0000 0.5000
Pb 0.5000 0.5000 0.5000

DFT (PBEsol) results for crystalline Gd2CBr at its relaxed geometry.

Summary:
Uncorrected energy   -11.12 eV/atom
Space-group type   P6_3/mmc (194)

abc: 3.6720 3.6720 14.0914
angles: 90.00 90.00 120.00
Fractional coordinates of all 8 atoms:
Gd 0.3333 0.6667 0.0918
Gd 0.3333 0.6667 0.4082
Gd 0.6667 0.3333 0.5918
Gd 0.6667 0.3333 0.9082
C 0.0000 0.0000 0.0000
C 0.0000 0.0000 0.5000
Br 0.3333 0.6667 0.7500
Br 0.6667 0.3333 0.2500

DFT (PBEsol) results for crystalline Ca4BeCl at its relaxed geometry.

Summary:
Uncorrected energy   -1.94 eV/atom
Space-group type   F-43m (216)

abc: 6.6685 6.6685 6.6685
angles: 60.00 60.00 60.00
Fractional coordinates of all 6 atoms:
Ca 0.3760 0.3760 0.3760
Ca 0.3760 0.3760 0.8721
Ca 0.3760 0.8721 0.3760
Ca 0.8721 0.3760 0.3760
Be 0.7500 0.7500 0.7500
Cl 0.0000 0.0000 0.0000

DFT (PBEsol) results for crystalline La2HgN at its relaxed geometry.

Summary:
Uncorrected energy   -4.94 eV/atom
Energy relative to the lowest polymorph listed for this composition   0.875 eV per atom
Space-group type   Fm-3m (225)

abc: 5.0305 5.0305 5.0305
angles: 60.00 60.00 60.00
Fractional coordinates of all 4 atoms:
La 0.2500 0.2500 0.2500
La 0.7500 0.7500 0.7500
Hg 0.0000 0.0000 0.0000
N 0.5000 0.5000 0.5000

DFT (PBEsol) results for crystalline Mg2SiTc at its relaxed geometry.

Summary:
Uncorrected energy   -5.01 eV/atom
Space-group type   Cmm2 (35)

abc: 2.8726 2.8726 8.7474
angles: 90.00 90.00 110.51
Fractional coordinates of all 4 atoms:
Mg 0.0000 0.0000 0.0000
Mg 0.5000 0.5000 0.2992
Si 0.5000 0.5000 0.7418
Tc 0.0000 0.0000 0.5487

DFT (PBEsol) results for crystalline Li2Ge2Pt at its relaxed geometry.

Summary:
Uncorrected energy   -4.66 eV/atom
ΔH_f (0 K)   -49 kJ/mol of atoms
Space-group type   P4/mbm (127)

abc: 6.3222 6.3222 3.9936
angles: 90.00 90.00 90.00
Fractional coordinates of all 10 atoms:
Li 0.1720 0.3280 0.0000
Li 0.3280 0.8280 0.0000
Li 0.6720 0.1720 0.0000
Li 0.8280 0.6720 0.0000
Ge 0.1362 0.6362 0.5000
Ge 0.3638 0.1362 0.5000
Ge 0.6362 0.8638 0.5000
Ge 0.8638 0.3638 0.5000
Pt 0.0000 0.0000 0.5000
Pt 0.5000 0.5000 0.5000

DFT (PBEsol) results for crystalline Pm2GaCu at its relaxed geometry.

Summary:
Uncorrected energy   -4.83 eV/atom
ΔH_f (0 K)   -33 kJ/mol of atoms
Space-group type   Fm-3m (225)

abc: 5.0412 5.0412 5.0412
angles: 60.00 60.00 60.00
Fractional coordinates of all 4 atoms:
Pm 0.2500 0.2500 0.2500
Pm 0.7500 0.7500 0.7500
Ga 0.0000 0.0000 0.0000
Cu 0.5000 0.5000 0.5000

DFT (PBEsol) results for crystalline CuB2Rh at its relaxed geometry.

Summary:
Uncorrected energy   -6.24 eV/atom
ΔH_f (0 K)   38 kJ/mol of atoms
Space-group type   Fm-3m (225)

abc: 3.7332 3.7332 3.7332
angles: 60.00 60.00 60.00
Fractional coordinates of all 4 atoms:
Cu 0.0000 0.0000 0.0000
B 0.2500 0.2500 0.2500
B 0.7500 0.7500 0.7500
Rh 0.5000 0.5000 0.5000

DFT (PBEsol) results for crystalline GeRuNO2 at its relaxed geometry.

Summary:
Uncorrected energy   -6.97 eV/atom
Space-group type   P4/mmm (123)

abc: 3.9288 3.9288 3.6952
angles: 90.00 90.00 90.00
Fractional coordinates of all 5 atoms:
Ge 0.0000 0.0000 0.0000
Ru 0.5000 0.5000 0.5000
N 0.5000 0.5000 0.0000
O 0.0000 0.5000 0.5000
O 0.5000 0.0000 0.5000

DFT (PBEsol) results for crystalline NaCdO2 at its relaxed geometry.

Summary:
Uncorrected energy   -4.23 eV/atom
Space-group type   R-3m (166)

abc: 5.7573 5.7573 5.7573
angles: 33.34 33.34 33.34
Fractional coordinates of all 4 atoms:
Na 0.0000 0.0000 0.0000
Cd 0.5000 0.5000 0.5000
O 0.2416 0.2416 0.2416
O 0.7584 0.7584 0.7584

DFT (PBEsol) results for crystalline Fe2NiAs at its relaxed geometry.

Summary:
Uncorrected energy   -7.25 eV/atom
ΔH_f (0 K)   5 kJ/mol of atoms
Space-group type   Cmmm (65)

abc: 4.2979 4.2979 2.7051
angles: 90.00 90.00 111.47
Fractional coordinates of all 4 atoms:
Fe 0.0000 0.5000 0.0000
Fe 0.5000 0.0000 0.0000
Ni 0.0000 0.0000 0.5000
As 0.5000 0.5000 0.5000

DFT (PBEsol) results for crystalline AlRuPb2 at its relaxed geometry.

Summary:
Uncorrected energy   -5.37 eV/atom
ΔH_f (0 K)   19 kJ/mol of atoms
Space-group type   R3m (160)

abc: 9.7247 9.7247 9.7247
angles: 19.05 19.05 19.05
Fractional coordinates of all 4 atoms:
Al 0.0000 0.0000 0.0000
Ru 0.2755 0.2755 0.2755
Pb 0.5339 0.5339 0.5339
Pb 0.7587 0.7587 0.7587

DFT (PBEsol) results for crystalline Cs4Nb2Si8O23 at its relaxed geometry.

Summary:
Uncorrected energy   -7.88 eV/atom
Space-group type   P-1 (2)

abc: 7.0327 7.9128 11.1474
angles: 76.86 89.59 71.91
Fractional coordinates of all 37 atoms:
Cs 0.1762 0.2835 0.3588
Cs 0.2107 0.2160 0.0113
Cs 0.7893 0.7840 0.9887
Cs 0.8238 0.7165 0.6412
Nb 0.2918 0.7420 0.8157
Nb 0.7082 0.2580 0.1843
Si 0.0032 0.8112 0.2968
Si 0.3397 0.6701 0.1317
Si 0.3498 0.7032 0.4998
Si 0.4372 0.1380 0.7120
Si 0.5628 0.8620 0.2880
Si 0.6502 0.2968 0.5002
Si 0.6603 0.3299 0.8683
Si 0.9968 0.1888 0.7032
O 0.0468 0.9726 0.7580
O 0.1267 0.6966 0.2000
O 0.1328 0.7331 0.4307
O 0.1350 0.5996 0.8516
O 0.1972 0.2521 0.6764
O 0.2981 0.7842 0.9892
O 0.3172 0.7342 0.6356
O 0.4399 0.4521 0.1469
O 0.4499 0.8504 0.4184
O 0.4706 0.9301 0.7802
O 0.4786 0.7538 0.2033
O 0.5000 0.5000 0.5000
O 0.5214 0.2462 0.7967
O 0.5294 0.0699 0.2198
O 0.5501 0.1496 0.5816
O 0.5601 0.5479 0.8531
O 0.6828 0.2658 0.3644
O 0.7019 0.2158 0.0108
O 0.8028 0.7479 0.3236
O 0.8650 0.4004 0.1484
O 0.8672 0.2669 0.5693
O 0.8733 0.3034 0.8000
O 0.9532 0.0274 0.2420

DFT (PBEsol) results for crystalline InNiAu at its relaxed geometry.

Summary:
Uncorrected energy   -4.40 eV/atom
ΔH_f (0 K)   -5 kJ/mol of atoms
Space-group type   F-43m (216)

abc: 4.2199 4.2199 4.2199
angles: 60.00 60.00 60.00
Fractional coordinates of all 3 atoms:
In 0.0000 0.0000 0.0000
Ni 0.7500 0.7500 0.7500
Au 0.5000 0.5000 0.5000

DFT (PBEsol) results for crystalline Zr2ReTc at its relaxed geometry.

Summary:
Uncorrected energy   -10.95 eV/atom
ΔH_f (0 K)   -24 kJ/mol of atoms
Space-group type   Imm2 (44)

abc: 5.4998 5.4998 5.4998
angles: 145.99 131.25 60.77
Fractional coordinates of all 4 atoms:
Zr 0.0000 0.0000 0.0000
Zr 0.7342 0.2342 0.5000
Re 0.2546 0.7546 0.5000
Tc 0.4819 0.4819 0.0000

DFT (PBEsol) results for crystalline Sr2AlW at its relaxed geometry.

Summary:
Uncorrected energy   -4.45 eV/atom
ΔH_f (0 K)   91 kJ/mol of atoms
Space-group type   Cmmm (65)

abc: 5.9767 5.9767 3.0327
angles: 90.00 90.00 117.71
Fractional coordinates of all 4 atoms:
Sr 0.0000 0.5000 0.0000
Sr 0.5000 0.0000 0.0000
Al 0.0000 0.0000 0.5000
W 0.5000 0.5000 0.5000

DFT (PBEsol) results for crystalline Zn3CdH at its relaxed geometry.

Summary:
Uncorrected energy   -1.58 eV/atom
Space-group type   Pm-3m (221)

abc: 4.0775 4.0775 4.0775
angles: 90.00 90.00 90.00
Fractional coordinates of all 5 atoms:
Zn 0.0000 0.0000 0.5000
Zn 0.0000 0.5000 0.0000
Zn 0.5000 0.0000 0.0000
Cd 0.5000 0.5000 0.5000
H 0.0000 0.0000 0.0000

DFT (PBEsol) results for crystalline AsP2IrS at its relaxed geometry.

Summary:
Uncorrected energy   -4.76 eV/atom
Space-group type   P4/mmm (123)

abc: 4.5002 4.5002 4.3919
angles: 90.00 90.00 90.00
Fractional coordinates of all 5 atoms:
As 0.0000 0.0000 0.0000
P 0.0000 0.5000 0.0000
P 0.5000 0.0000 0.0000
Ir 0.5000 0.5000 0.5000
S 0.0000 0.0000 0.5000